# 1
# Hg2SbP

A relaxed Hg2SbP crystal (GGA-PBE, the Alexandria database).

Values from the calculation:
Energy relative to the elements, uncorrected = 0.332 eV/atom
Calculated volume = 119.5 Å³/f.u.
Excess energy over the best structure of this formula in the dataset = 248 meV per atom

abc: 6.286 6.286 7.506
angles: 65.24 65.24 90.00
Positions (direct):
Hg: 0.375 0.420 0.750
Hg: 0.170 0.625 0.250
Hg: 0.875 0.830 0.750
Hg: 0.580 0.125 0.250
Sb: 0.000 0.000 0.000
Sb: 0.750 0.250 0.500
P: 0.500 0.500 0.000
P: 0.250 0.750 0.500

=====

# 2
# LiSn2Ru2

A relaxed LiSn2Ru2 crystal (GGA-PBE, the Alexandria database).

Values from the calculation:
Formation energy from the elements = 137 meV per atom
Calculated volume = 104.8 Å³/f.u.
Excess energy over the best structure of this formula in the dataset = 285 meV per atom

abc: 4.204 4.204 6.632
angles: 71.52 71.52 90.00
Positions (direct):
Ru: 0.750 0.250 0.500
Ru: 0.250 0.750 0.500
Li: 0.000 0.000 0.000
Sn: 0.618 0.618 0.763
Sn: 0.382 0.382 0.237

=====

# 3
# NiCl

A relaxed NiCl crystal (GGA-PBE, the Alexandria database).

Values from the calculation:
Energy relative to the elements, uncorrected = -0.088 eV/atom
Calculated volume = 33.3 Å³/f.u.

abc: 10.160 3.831 5.132
angles: 90.00 90.00 90.00
Each line ends with the local moment (μB).
Positions (direct):
Cl: 0.667 0.632 0.334  0.11
Cl: 0.000 0.828 0.303  0.11
Cl: 0.167 0.368 0.834  0.11
Cl: 0.833 0.368 0.834  0.11
Cl: 0.333 0.632 0.334  0.11
Cl: 0.500 0.172 0.803  0.11
Ni: 0.500 0.680 0.020  0.85
Ni: 0.706 0.885 0.755  0.94
Ni: 0.000 0.320 0.520  0.85
Ni: 0.206 0.115 0.255  0.94
Ni: 0.294 0.885 0.755  0.94
Ni: 0.794 0.115 0.255  0.94

=====

# 4
# CeSmHg3

A relaxed CeSmHg3 crystal (GGA-PBE, the Alexandria database).

Values from the calculation:
Formation energy from the elements = -373 meV per atom
Calculated volume = 132.3 Å³/f.u.
Excess energy over the best structure of this formula in the dataset = 0 meV per atom

abc: 3.514 5.037 15.058
angles: 90.00 96.70 90.00
Each line ends with the local moment (μB).
Positions (direct):
Sm: 0.789 0.250 0.578  0.00
Sm: 0.211 0.750 0.422  0.00
Ce: 0.925 0.750 0.851  1.02
Ce: 0.075 0.250 0.149  1.02
Hg: 0.476 0.250 0.952  0.00
Hg: 0.379 0.250 0.758  0.01
Hg: 0.621 0.750 0.242  0.01
Hg: 0.322 0.750 0.643  0.00
Hg: 0.524 0.750 0.048  0.00
Hg: 0.678 0.250 0.357  0.00

=====

# 5
# Pu2Al3Cr

A relaxed Pu2Al3Cr crystal (GGA-PBE, the Alexandria database).

Values from the calculation:
Formation energy from the elements = -194 meV per atom
Calculated volume = 114.5 Å³/f.u.

abc: 5.391 5.391 5.513
angles: 90.03 119.25 119.98
Each line ends with the local moment (μB).
Positions (direct):
Al: 0.500 0.500 0.500  -0.01
Al: 0.000 0.000 0.500  -0.01
Al: 0.500 0.000 0.500  -0.01
Pu: 0.738 0.369 0.106  5.18
Pu: 0.262 0.631 0.894  5.18
Cr: 0.000 0.000 0.000  -2.74

=====

# 6
# Y2CoPb2

A relaxed Y2CoPb2 crystal (GGA-PBE, the Alexandria database).

Values from the calculation:
Formation energy from the elements = 353 meV per atom
Calculated volume = 145.0 Å³/f.u.
Excess energy over the best structure of this formula in the dataset = 530 meV per atom

abc: 4.129 4.129 8.993
angles: 76.73 76.73 90.00
Each line ends with the local moment (μB).
Positions (direct):
Pb: 0.250 0.750 0.500  0.01
Pb: 0.750 0.250 0.500  0.01
Y: 0.593 0.593 0.814  -0.16
Y: 0.407 0.407 0.186  -0.16
Co: 0.000 0.000 0.000  1.69

=====

# 7
# MgCoAu2

A relaxed MgCoAu2 crystal (GGA-PBE, the Alexandria database).

Values from the calculation:
Formation energy from the elements = -108 meV per atom
Calculated volume = 64.1 Å³/f.u.

abc: 4.982 4.982 4.982
angles: 133.43 133.36 68.04
Each line ends with the local moment (μB).
Positions (direct):
Co: 0.500 0.500 0.000  1.38
Mg: 0.250 0.750 0.500  -0.01
Au: 0.750 0.250 0.500  -0.01
Au: 0.000 0.000 0.000  -0.02

=====

# 8
# LiZrBi2

A relaxed LiZrBi2 crystal (GGA-PBE, the Alexandria database).

Values from the calculation:
Formation energy from the elements = -285 meV per atom
Calculated volume = 98.6 Å³/f.u.
Excess energy over the best structure of this formula in the dataset = 0 meV per atom

abc: 3.838 3.838 6.691
angles: 90.00 90.00 90.00
Each line ends with the local moment (μB).
Positions (direct):
Zr: 0.500 0.500 0.000  0.31
Li: 0.500 0.500 0.500  0.02
Bi: 0.000 0.000 0.753  0.01
Bi: 0.000 0.000 0.247  0.01

=====

# 9
# Tb9PrY2

A relaxed Tb9PrY2 crystal (GGA-PBE, the Alexandria database).

Values from the calculation:
Formation energy from the elements = 22 meV per atom
Calculated volume = 388.3 Å³/f.u.
Excess energy over the best structure of this formula in the dataset = 0 meV per atom

abc: 5.058 5.058 15.175
angles: 90.00 90.00 90.00
Positions (direct):
Tb: 0.000 0.500 0.168
Tb: 0.500 0.500 0.665
Tb: 0.500 0.000 0.168
Tb: 0.000 0.500 0.500
Tb: 0.500 0.000 0.832
Tb: 0.000 0.500 0.832
Tb: 0.500 0.500 0.000
Tb: 0.500 0.500 0.335
Tb: 0.500 0.000 0.500
Y: 0.000 0.000 0.334
Y: 0.000 0.000 0.666
Pr: 0.000 0.000 0.000

=====

# 10
# CaBiO2F

A relaxed CaBiO2F crystal (GGA-PBE, the Alexandria database).

Values from the calculation:
Energy relative to the elements, uncorrected = -1.716 eV/atom
Calculated volume = 92.9 Å³/f.u.

abc: 4.551 4.551 4.484
angles: 90.00 90.00 90.00
Positions (direct):
Bi: 0.000 0.000 0.000
O: 0.000 0.500 0.000
O: 0.500 0.000 0.000
F: 0.000 0.000 0.500
Ca: 0.500 0.500 0.500

=====

# 11
# K3SbH

A relaxed K3SbH crystal (GGA-PBE, the Alexandria database).

Values from the calculation:
Calculated volume = 162.2 Å³/f.u.
Excess energy over the best structure of this formula in the dataset = 86 meV per atom

abc: 6.195 10.290 10.309
angles: 99.18 90.00 90.00
Each line ends with the local moment (μB).
Positions (direct):
K: 0.244 0.164 0.167  0.01
K: 0.271 0.417 0.914  0.01
K: 0.748 0.940 0.189  0.02
K: 0.229 0.917 0.414  0.01
K: 0.752 0.440 0.689  0.02
K: 0.256 0.664 0.667  0.01
K: 0.729 0.583 0.086  0.01
K: 0.252 0.060 0.811  0.02
K: 0.771 0.083 0.586  0.01
K: 0.756 0.836 0.833  0.01
K: 0.248 0.560 0.311  0.02
K: 0.744 0.336 0.333  0.01
Sb: 0.257 0.277 0.531  0.24
Sb: 0.743 0.723 0.469  0.24
Sb: 0.243 0.777 0.031  0.24
Sb: 0.757 0.223 0.969  0.24
H: 0.968 0.116 0.360  0.06
H: 0.468 0.384 0.140  0.06
H: 0.532 0.616 0.860  0.06
H: 0.032 0.884 0.640  0.06

=====

# 12
# HoPaHg2

A relaxed HoPaHg2 crystal (GGA-PBE, the Alexandria database).

Values from the calculation:
Formation energy from the elements = -154 meV per atom
Calculated volume = 98.5 Å³/f.u.
Excess energy over the best structure of this formula in the dataset = 0 meV per atom

abc: 3.335 3.335 8.856
angles: 90.00 90.00 90.00
Each line ends with the local moment (μB).
Positions (direct):
Hg: 0.000 0.000 0.757  0.00
Hg: 0.000 0.000 0.243  0.00
Ho: 0.500 0.500 0.000  0.07
Pa: 0.500 0.500 0.500  0.82

=====

Among the records above, which one has the lowest calculated volume?
NiCl

=====

calculated volume of number 10 (CaBiO2F)?
92.9 Å³/f.u.